[1]
The following is a DFT calculation (PBE-GGA) of a relaxed Ca2TaSn crystal.

Computed properties:
Total moment ... 1.923 μB per formula unit
DFT formation energy ... 0.65 eV per atom

abc: 8.5717 8.5717 5.9993
angles: 90.00 90.00 90.00
Last column: nearest neighbours and their distance in Å.
Space group I-42d (No. 122)
Unique sites:
Ca (0.2456, 0.2500, 0.1250) x8  2 Ca 3.00, 2 Sn 3.10, 2 Ta 3.15
Ta (0.0000, 0.0000, 0.5000) x4  2 Sn 3.00, 4 Ca 3.15
Sn (0.0000, 0.0000, 0.0000) x4  2 Ta 3.00, 4 Ca 3.10

=====

[2]
The following is a DFT calculation (PBE-GGA) of a relaxed Ca3TaSn crystal.

Computed properties:
Total moment ... 1.046 μB per formula unit
DFT formation energy ... 0.93 eV per atom
Energy above the lowest structure with this stoichiometry ... 1.00 kcal/mol of atoms

abc: 5.5804 5.5804 5.5804
angles: 90.00 90.00 90.00
Last column: nearest neighbours and their distance in Å.
Space group Pm-3m (No. 221)
Unique sites:
Ca (0.0000, 0.0000, 0.5000) x3  2 Ta 2.79
Ta (0.0000, 0.0000, 0.0000) x1  6 Ca 2.79
Sn (0.5000, 0.5000, 0.5000) x1  12 Ca 3.95